VASP calculation (PBE) on an optimized crystal structure of Nd2BeGe3.

Output
Relative energy among the computed polymorphs ... 0.023 eV/atom
Energy ... -5.161 eV per atom
Total magnetic moment ... 0.000 μB per atom

extended XYZ file:
```
6
Lattice="4.292 0.000 0.000 0.000 4.084 0.000 0.000 0.000 7.153" Properties=species:S:1:pos:R:3 pbc="T T T"
Nd 0.000 2.042 0.012
Nd 0.000 0.000 3.584
Be 2.146 2.042 2.314
Ge 2.146 0.000 6.021
Ge 2.146 0.000 1.379
Ge 2.146 2.042 4.573
```